# 1
First-principles (PBE-GGA) data for a relaxed DyHo3Sc2Se6 crystal, as listed in Alexandria via LeMat-Bulk.

Structure (POSCAR):
```
DyHo3Sc2Se6
1.0
-3.435 5.598 2.218
-0.354 -1.902 -6.657
-3.943 -4.965 2.827
Dy Ho Sc Se
1 3 2 6
Cartesian
0.000 0.000 0.000
-2.821 -3.177 -3.815
-4.911 1.908 2.202
-3.866 -0.634 -0.806
-1.385 0.607 -3.688
-2.405 3.089 -0.751
-6.346 0.293 0.344
-3.731 1.538 -2.596
-1.386 -1.562 -1.956
-5.288 -2.281 -2.703
-4.000 -2.807 0.983
-2.444 1.012 1.091
```

Results
E_tot	-72.042	eV/cell
DOS(E_F)	6.07	states/eV/cell
crystal system	monoclinic

=====

# 2
First-principles (PBE-GGA) data for a relaxed Dy3Ho4ScSe8 crystal, as listed in Alexandria via LeMat-Bulk.

Structure (POSCAR):
```
Dy3Ho4ScSe8
1.0
-7.036 2.235 3.309
3.064 -1.275 7.377
3.796 4.943 -5.157
Dy Ho Sc Se
3 4 1 8
Cartesian
-1.986 0.480 5.343
-0.088 2.952 2.765
3.430 1.834 1.110
-3.518 1.118 1.654
-1.620 3.589 -0.924
0.000 0.000 0.000
1.898 2.471 -2.578
1.532 -0.637 3.689
0.565 -0.397 6.317
2.425 2.025 3.789
0.899 2.706 0.083
-3.023 0.743 8.004
2.847 5.160 -2.475
-1.074 3.197 5.446
-2.601 3.878 1.740
-0.741 6.300 -0.787
```

Results
E_tot	-93.605	eV/cell
DOS(E_F)	11.07	states/eV/cell
crystal system	trigonal

=====

# 3
First-principles (PBE-GGA) data for a relaxed DyHoSc2Se6 crystal, as listed in Alexandria via LeMat-Bulk.

Structure (POSCAR):
```
DyHoSc2Se6
1.0
-1.989 6.415 -1.941
0.485 1.933 -6.701
-6.330 0.662 -3.914
Dy Ho Sc Se
1 1 2 6
Cartesian
-4.725 7.176 -9.213
-0.796 2.675 -2.933
-3.744 4.568 -6.247
-6.163 0.723 -3.885
-2.674 4.620 -3.766
-1.591 3.419 -7.410
-3.026 7.099 -6.868
-5.137 4.432 -8.624
-6.125 5.472 -5.188
-4.776 2.052 -5.783
```

Results
E_tot	-60.254	eV/cell
DOS(E_F)	0.00	states/eV/cell
crystal system	trigonal

=====

# 4
First-principles (PBE-GGA) data for a relaxed Dy3HoSc2Se6 crystal, as listed in Alexandria via LeMat-Bulk.

Structure (POSCAR):
```
Dy3HoSc2Se6
1.0
6.938 -0.016 -0.002
-3.481 6.001 -0.002
-1.155 -2.000 6.569
Dy Ho Sc Se
3 1 2 6
Cartesian
-2.373 4.027 3.282
4.675 -0.043 3.282
1.151 1.992 3.282
0.000 0.000 0.000
-0.004 3.993 -0.002
3.461 1.992 -0.002
3.493 1.935 4.984
2.274 3.937 1.548
-1.191 2.049 1.580
-0.069 3.992 4.984
0.028 0.048 5.016
2.370 -0.008 1.580
```

Results
E_tot	-72.199	eV/cell
DOS(E_F)	6.11	states/eV/cell
crystal system	monoclinic

=====

Which of these has the highest DOS(E_F)? Dy3Ho4ScSe8

=====

Look up the DOS(E_F) of the third one. 0.00 states/eV/cell

=====

Which of these has the highest E_tot? DyHoSc2Se6

=====

E_tot of number 2 (Dy3Ho4ScSe8)? -93.605 eV/cell